1.
VB3Cl: relaxed, GGA-PBE.

POSCAR file:
```
VB3Cl
1.0
4.2521 0.0000 0.0000
0.0000 4.2521 0.0000
0.0000 0.0000 4.2521
B Cl V
3 1 1
direct
0.0000 0.0000 0.5000
0.5000 0.0000 0.0000
0.0000 0.5000 0.0000
0.5000 0.5000 0.5000
0.0000 0.0000 0.0000
```

Computed properties:
- V: 15.38 A^3/atom
- Uncorrected energy: -4.400 eV per atom
- Raw formation energy: 1.800 eV/atom

***

2.
AcLaSm: relaxed, GGA-PBE.

POSCAR file:
```
AcLaSm
1.0
-0.2637 2.8191 2.5436
-2.7034 -0.4373 -2.6433
-4.6616 -5.5689 5.6890
Sm Ac La
1 1 1
direct
0.6667 0.3333 0.3378
0.0000 0.0000 0.0040
0.3333 0.6667 0.6582
```

Computed properties:
- Formation energy: 0.04 eV per atom
- V: 38.58 A^3/atom
- Uncorrected energy: -4.547 eV per atom

***

Question: What is the uncorrected energy in the second record?
Answer: -4.547 eV per atom

***

Question: Among the records above, which one has the lowest uncorrected energy?
Answer: AcLaSm